The following is a DFT calculation (PBE-GGA) of Ca6AlCu2 after structural relaxation.

Lattice parameters (Å, degrees): 9.747 10.007 10.834 90.00 90.00 90.00
Space group Immm (No. 71)
Inequivalent atoms, fractional coordinates:
Ca: 0.000 0.192 0.242 (multiplicity 8)
Ca: 0.198 0.500 0.171 (multiplicity 8)
Ca: 0.217 0.317 0.500 (multiplicity 8)
Al: 0.000 0.000 0.000 (multiplicity 2)
Al: 0.000 0.000 0.500 (multiplicity 2)
Cu: 0.000 0.352 0.000 (multiplicity 4)
Cu: 0.000 0.500 0.384 (multiplicity 4)

Calculated values
ΔE_f = -0.114 eV per atom
Total magnetization = 0.00 μB per formula unit
Raw total energy = -2.775 eV per atom
Density = 2480 kg/m³